[1]
First-principles (PBE) data for a relaxed structure of Mo2Br8Cl, as listed in the Alexandria database.

abc: 7.4136 7.4136 8.2407
angles: 90.83 90.83 107.10
Last column: nearest neighbours and their distance in Å.
Fractional positions:
Mo (0.1050, 0.1050, 0.2876)  4 Br 2.41-2.53, 1 Cl 2.52
Mo (0.8950, 0.8950, 0.7124)  4 Br 2.41-2.53, 1 Cl 2.52
Br (0.1478, 0.7462, 0.7125)  1 Mo 2.44
Br (0.1919, 0.1919, 0.5823)  1 Mo 2.53
Br (0.2538, 0.8522, 0.2875)  1 Mo 2.44
Br (0.3641, 0.3641, 0.1985)  1 Mo 2.41
Br (0.6359, 0.6359, 0.8015)  1 Mo 2.41
Br (0.7462, 0.1478, 0.7125)  1 Mo 2.44
Br (0.8081, 0.8081, 0.4177)  1 Mo 2.53
Br (0.8522, 0.2538, 0.2875)  1 Mo 2.44
Cl (0.0000, 0.0000, 0.0000)  2 Mo 2.52

As for the uncorrected formation energy: -0.473 eV/atom. Its total magnetization is 3.00 Bohr magnetons per cell. For the total energy, the calculation gives -42.1 eV/cell.


[2]
First-principles (PBE) data for a relaxed structure of Sr2LiAu2, as listed in the Alexandria database.

abc: 9.8448 9.8448 9.8448
angles: 156.12 156.12 34.02
Last column: nearest neighbours and their distance in Å.
Fractional positions:
Sr (0.1198, 0.1198, 0.0000)  4 Au 3.19
Sr (0.8802, 0.8802, 0.0000)  4 Au 3.19
Li (0.5000, 0.5000, 0.0000)  8 Sr 3.66, 4 Li 4.07
Au (0.2500, 0.7500, 0.5000)  4 Au 2.88, 4 Sr 3.19
Au (0.7500, 0.2500, 0.5000)  4 Au 2.88, 4 Sr 3.19

For the relative energy among the computed polymorphs, the calculation gives 363 meV/atom. Its total magnetization is 0.00 Bohr magnetons per cell. For the formation energy, the calculation gives -0.286 eV per atom. For the total energy, the calculation gives -13.3 eV/cell.


[3]
First-principles (PBE) data for a relaxed structure of HgTe2Pt, as listed in the Alexandria database.

abc: 7.5720 7.5720 5.5854
angles: 96.76 96.76 135.31
Last column: nearest neighbours and their distance in Å.
Fractional positions:
Hg (0.0783, 0.9217, 0.7500)  2 Pt 2.95
Hg (0.9217, 0.0783, 0.2500)  2 Pt 2.95
Te (0.1588, 0.4573, 0.8659)  2 Pt 2.66-2.92, 1 Te 2.89
Te (0.4573, 0.1588, 0.3659)  2 Pt 2.66-2.92, 1 Te 2.89
Te (0.5427, 0.8412, 0.6341)  2 Pt 2.66-2.92, 1 Te 2.89
Te (0.8412, 0.5427, 0.1341)  2 Pt 2.66-2.92, 1 Te 2.89
Pt (0.4681, 0.5319, 0.2500)  4 Te 2.66-2.92, 2 Pt 2.93, 2 Hg 2.95
Pt (0.5319, 0.4681, 0.7500)  4 Te 2.66-2.92, 2 Pt 2.93, 2 Hg 2.95

As for the uncorrected formation energy: 0.002 eV/atom. Its total magnetization is 0.00 Bohr magnetons per cell. For the total energy, the calculation gives -25.2 eV/cell.


[4]
First-principles (PBE) data for a relaxed structure of LaCdB, as listed in the Alexandria database.

abc: 4.6514 3.7966 7.3879
angles: 90.00 95.23 90.00
Last column: nearest neighbours and their distance in Å.
Fractional positions:
La (0.2074, 0.0000, 0.1821)  4 B 2.84-2.90, 1 La 3.17
La (0.7926, 0.0000, 0.8179)  4 B 2.84-2.90, 1 La 3.17
Cd (0.2642, 0.5000, 0.6052)  1 B 2.35
Cd (0.7358, 0.5000, 0.3948)  1 B 2.35
B (0.3676, 0.5000, 0.9229)  1 B 1.60
B (0.6324, 0.5000, 0.0771)  1 B 1.60

For the relative energy among the computed polymorphs, the calculation gives 213 meV/atom. Its total magnetization is 0.00 Bohr magnetons per cell. For the formation energy, the calculation gives -0.136 eV per atom. For the total energy, the calculation gives -25.9 eV/cell.


[5]
First-principles (PBE) data for a relaxed structure of K3RbZr, as listed in the Alexandria database.

abc: 6.9406 6.9406 6.9406
angles: 90.00 90.00 90.00
Last column: nearest neighbours and their distance in Å.
Fractional positions:
K (0.0000, 0.0000, 0.5000)  2 Rb 3.47
K (0.0000, 0.5000, 0.0000)  2 Rb 3.47
K (0.5000, 0.0000, 0.0000)  2 Rb 3.47
Rb (0.0000, 0.0000, 0.0000)  6 K 3.47
Zr (0.5000, 0.5000, 0.5000)  12 K 4.91

For the relative energy among the computed polymorphs, the calculation gives 337 meV/atom. Its total magnetization is 4.10 Bohr magnetons per cell. For the formation energy, the calculation gives 1.217 eV per atom. For the total energy, the calculation gives -6.7 eV/cell.


[6]
First-principles (PBE) data for a relaxed structure of BeTlCd2, as listed in the Alexandria database.

abc: 3.1140 3.1895 8.4014
angles: 90.00 90.00 90.00
Last column: nearest neighbours and their distance in Å.
Fractional positions:
Be (0.0000, 0.0000, 0.0000)  8 Cd 2.73
Tl (0.0000, 0.0000, 0.5000)  4 Tl 3.11-3.19, 8 Cd 3.45
Cd (0.5000, 0.5000, 0.1872)  4 Be 2.73
Cd (0.5000, 0.5000, 0.8128)  4 Be 2.73

For the relative energy among the computed polymorphs, the calculation gives 12 meV/atom. Its total magnetization is 0.00 Bohr magnetons per cell. For the formation energy, the calculation gives 0.301 eV per atom. For the total energy, the calculation gives -6.7 eV/cell.


[7]
First-principles (PBE) data for a relaxed structure of Ta3RhAu, as listed in the Alexandria database.

abc: 4.8765 4.8765 4.8765
angles: 90.00 90.00 90.00
Last column: nearest neighbours and their distance in Å.
Fractional positions:
Ta (0.0000, 0.0000, 0.5000)  2 Au 2.44
Ta (0.0000, 0.5000, 0.0000)  2 Au 2.44
Ta (0.5000, 0.0000, 0.0000)  2 Au 2.44
Rh (0.5000, 0.5000, 0.5000)  12 Ta 3.45
Au (0.0000, 0.0000, 0.0000)  6 Ta 2.44

For the relative energy among the computed polymorphs, the calculation gives 821 meV/atom. Its total magnetization is 0.00 Bohr magnetons per cell. For the formation energy, the calculation gives 1.875 eV per atom. For the total energy, the calculation gives -36.8 eV/cell.


[8]
First-principles (PBE) data for a relaxed structure of Be2AuSe, as listed in the Alexandria database.

abc: 3.2617 3.2617 6.3827
angles: 90.00 90.00 90.00
Last column: nearest neighbours and their distance in Å.
Fractional positions:
Be (0.0000, 0.0000, 0.0000)  1 Se 2.23, 4 Au 2.42
Be (0.5000, 0.5000, 0.2543)  1 Au 2.37, 4 Se 2.39
Au (0.5000, 0.5000, 0.8837)  5 Be 2.37-2.42
Se (0.0000, 0.0000, 0.3500)  5 Be 2.23-2.39

As for the uncorrected formation energy: -0.065 eV/atom. Its total magnetization is 0.00 Bohr magnetons per cell. For the total energy, the calculation gives -14.5 eV/cell.


[9]
First-principles (PBE) data for a relaxed structure of CeB6Rh12, as listed in the Alexandria database.

abc: 6.4995 6.4995 6.4995
angles: 104.32 104.32 104.32
Last column: nearest neighbours and their distance in Å.
Fractional positions:
Ce (0.0000, 0.0000, 0.0000)  18 Rh 3.28-3.53, 6 B 3.37
B (0.2328, 0.2328, 0.6676)  7 Rh 2.21-2.33
B (0.2328, 0.6676, 0.2328)  7 Rh 2.21-2.33
B (0.3324, 0.7672, 0.7672)  7 Rh 2.21-2.33
B (0.6676, 0.2328, 0.2328)  7 Rh 2.21-2.33
B (0.7672, 0.3324, 0.7672)  7 Rh 2.21-2.33
B (0.7672, 0.7672, 0.3324)  7 Rh 2.21-2.33
Rh (0.1337, 0.5000, 0.8663)  4 B 2.21-2.23
Rh (0.1337, 0.8663, 0.5000)  4 B 2.21-2.23
Rh (0.1852, 0.4477, 0.4477)  3 B 2.25-2.33
Rh (0.4477, 0.1852, 0.4477)  3 B 2.25-2.33
Rh (0.4477, 0.4477, 0.1852)  3 B 2.25-2.33
Rh (0.5000, 0.1337, 0.8663)  4 B 2.21-2.23
Rh (0.5000, 0.8663, 0.1337)  4 B 2.21-2.23
Rh (0.5523, 0.5523, 0.8148)  3 B 2.25-2.33
Rh (0.5523, 0.8148, 0.5523)  3 B 2.25-2.33
Rh (0.8148, 0.5523, 0.5523)  3 B 2.25-2.33
Rh (0.8663, 0.1337, 0.5000)  4 B 2.21-2.23
Rh (0.8663, 0.5000, 0.1337)  4 B 2.21-2.23

Its total magnetization is 0.30 Bohr magnetons per cell. For the formation energy, the calculation gives -0.382 eV per atom. For the total energy, the calculation gives -141.5 eV/cell.


[10]
First-principles (PBE) data for a relaxed structure of CsRb2Br2, as listed in the Alexandria database.

abc: 10.5634 10.5634 4.4169
angles: 90.00 90.00 90.00
Last column: nearest neighbours and their distance in Å.
Fractional positions:
Cs (0.0000, 0.0000, 0.0000)  4 Rb 4.14, 2 Cs 4.42, 8 Br 4.60
Cs (0.5000, 0.5000, 0.0000)  4 Rb 4.14, 2 Cs 4.42, 8 Br 4.60
Rb (0.1300, 0.3700, 0.0000)  6 Br 3.68-3.98, 1 Rb 3.89
Rb (0.3700, 0.8700, 0.0000)  6 Br 3.68-3.98, 1 Rb 3.89
Rb (0.6300, 0.1300, 0.0000)  6 Br 3.68-3.98, 1 Rb 3.89
Rb (0.8700, 0.6300, 0.0000)  6 Br 3.68-3.98, 1 Rb 3.89
Br (0.1484, 0.6484, 0.5000)  6 Rb 3.68-3.98
Br (0.3516, 0.1484, 0.5000)  6 Rb 3.68-3.98
Br (0.6484, 0.8516, 0.5000)  6 Rb 3.68-3.98
Br (0.8516, 0.3516, 0.5000)  6 Rb 3.68-3.98

For the relative energy among the computed polymorphs, the calculation gives 152 meV/atom. As for the uncorrected formation energy: -1.154 eV/atom. Its total magnetization is 0.00 Bohr magnetons per cell. For the total energy, the calculation gives -23.8 eV/cell.